Below is DyCuAgSe3 after structural relaxation, with properties calculated at the GGA-PBE level.

abc: 3.9524 8.2140 8.4553
angles: 99.23 90.00 90.00
Closest atoms and distances in Å follow each position.
Fractional positions:
Dy1 0.2500 0.1729 0.2292  7 Se 2.87-3.05, 1 Cu 3.17
Dy2 0.7500 0.8271 0.7708  7 Se 2.87-3.05, 1 Cu 3.17
Cu1 0.2500 0.0785 0.5785  4 Se 2.44-2.57, 2 Cu 2.60
Cu2 0.7500 0.9215 0.4215  4 Se 2.44-2.57, 2 Cu 2.60
Ag1 0.2500 0.6562 0.1597  6 Se 2.68-2.94
Ag2 0.7500 0.3438 0.8403  6 Se 2.68-2.94
Se1 0.7500 0.9154 0.1315  1 Cu 2.44
Se2 0.2500 0.0846 0.8685  1 Cu 2.44
Se3 0.2500 0.7643 0.4934  3 Cu 2.49-2.57
Se4 0.7500 0.2357 0.5066  3 Cu 2.49-2.57
Se5 0.7500 0.4058 0.1613  3 Ag 2.68-2.85, 2 Dy 2.87
Se6 0.2500 0.5942 0.8387  3 Ag 2.68-2.85, 2 Dy 2.87

Summary:
The calculation puts the size of the total moment at 0.00 Bohr magnetons per cell. As for the space-group type: No. 11. The density of states at the Fermi level is 4.22 states/eV/f.u. Its formation energy (no corrections) is -71.94 kJ per mole of atoms. Its total energy is -4.413 eV/atom.

---

Below is Si2MoIr after structural relaxation, with properties calculated at the GGA-PBE level.

abc: 4.2440 4.2440 4.2440
angles: 60.00 60.00 60.00
Closest atoms and distances in Å follow each position.
Fractional positions:
Mo1 0.0000 0.0000 0.0000  8 Si 2.60
Ir1 0.5000 0.5000 0.5000  8 Si 2.60
Si1 0.2500 0.2500 0.2500  4 Ir 2.60, 4 Mo 2.60
Si2 0.7500 0.7500 0.7500  4 Ir 2.60, 4 Mo 2.60

Summary:
The calculation puts the size of the total moment at 0.00 Bohr magnetons per cell. As for the space-group type: No. 225. The density of states at the Fermi level is 2.65 states/eV/f.u. Its formation energy (no corrections) is -36.79 kJ per mole of atoms. Its total energy is -8.016 eV/atom.

---

Below is Ba4In2F after structural relaxation, with properties calculated at the GGA-PBE level.

abc: 5.5886 5.5886 9.8461
angles: 106.49 106.49 90.00
Closest atoms and distances in Å follow each position.
Fractional positions:
F1 0.0000 0.0000 0.0000  4 Ba 2.79
Ba1 0.8163 0.8163 0.6327  1 F 3.31, 1 In 3.49
Ba2 0.1837 0.1837 0.3673  1 F 3.31, 1 In 3.49
Ba3 0.0000 0.5000 0.0000  2 F 2.79
Ba4 0.5000 0.0000 0.0000  2 F 2.79
In1 0.6231 0.6231 0.2461  5 Ba 3.49-3.57
In2 0.3769 0.3769 0.7539  5 Ba 3.49-3.57

Summary:
The calculation puts the size of the total moment at 0.00 Bohr magnetons per cell. As for the space-group type: No. 139. The density of states at the Fermi level is 7.67 states/eV/f.u. Its formation energy (no corrections) is -96.62 kJ per mole of atoms. Its total energy is -3.150 eV/atom.

---

Below is Pm2ZrHg after structural relaxation, with properties calculated at the GGA-PBE level.

abc: 3.4845 5.6225 5.6225
angles: 90.00 90.00 90.00
Closest atoms and distances in Å follow each position.
Fractional positions:
Hg1 0.5000 0.5000 0.5000  8 Pm 3.31, 2 Hg 3.48
Zr1 0.5000 0.0000 0.0000  8 Pm 3.31, 2 Zr 3.48
Pm1 0.0000 0.0000 0.5000  4 Hg 3.31, 4 Zr 3.31, 2 Pm 3.48
Pm2 0.0000 0.5000 0.0000  4 Hg 3.31, 4 Zr 3.31, 2 Pm 3.48

Summary:
The calculation puts the size of the total moment at 0.00 Bohr magnetons per cell. As for the space-group type: No. 123. The density of states at the Fermi level is 6.04 states/eV/f.u. As for the excess energy over the best structure of this formula in the dataset: 77 meV per atom. Its total energy is -4.658 eV/atom.

---

Below is LaZrAs after structural relaxation, with properties calculated at the GGA-PBE level.

abc: 3.8851 3.8851 6.3749
angles: 90.00 90.00 120.00
Closest atoms and distances in Å follow each position.
Fractional positions:
As1 0.0000 0.0000 0.9727  3 Zr 2.68, 3 La 3.00
Zr1 0.3333 0.6667 0.7433  3 As 2.68
La1 0.6667 0.3333 0.2840  3 As 3.00

Summary:
The calculation puts the size of the total moment at 0.22 Bohr magnetons per cell. As for the space-group type: No. 156. The density of states at the Fermi level is 3.53 states/eV/f.u. As for the excess energy over the best structure of this formula in the dataset: 345 meV per atom. Its total energy is -6.694 eV/atom.

---

Below is ZrRu2Br after structural relaxation, with properties calculated at the GGA-PBE level.

abc: 4.2447 3.1201 5.3952
angles: 74.04 90.00 90.00
Closest atoms and distances in Å follow each position.
Fractional positions:
Ru1 0.0000 0.8687 0.9895  2 Br 2.56, 1 Ru 2.70
Ru2 0.0000 0.6313 0.5105  2 Br 2.56, 1 Ru 2.70
Br1 0.5000 0.7500 0.7500  4 Ru 2.56, 2 Zr 2.72
Zr1 0.5000 0.2500 0.2500  2 Br 2.72, 8 Ru 2.95-2.97

Summary:
The calculation puts the size of the total moment at 0.00 Bohr magnetons per cell. As for the space-group type: No. 10. The density of states at the Fermi level is 3.80 states/eV/f.u. As for the excess energy over the best structure of this formula in the dataset: 237 meV per atom. Its formation energy (no corrections) is 21.54 kJ per mole of atoms. Its total energy is -6.970 eV/atom.

---

Below is CsIrPbO6 after structural relaxation, with properties calculated at the GGA-PBE level.

abc: 5.6726 5.6726 6.5277
angles: 90.00 90.00 60.00
Closest atoms and distances in Å follow each position.
Fractional positions:
Cs1 0.0000 0.0000 0.0000  6 O 3.11
Ir1 0.3333 0.3333 0.5000  6 O 1.91
Pb1 0.6666 0.6667 0.5000  6 O 2.24
O1 0.0422 0.3784 0.3257  1 Ir 1.91
O2 0.3783 0.0422 0.6743  1 Ir 1.91
O3 0.5794 0.3784 0.6743  1 Ir 1.91
O4 0.0422 0.5794 0.6743  1 Ir 1.91
O5 0.3783 0.5794 0.3257  1 Ir 1.91
O6 0.5794 0.0422 0.3257  1 Ir 1.91

Summary:
The calculation puts the size of the total moment at 0.00 Bohr magnetons per cell. As for the space-group type: No. 149. The density of states at the Fermi level is 4.40 states/eV/f.u. Its formation energy (no corrections) is -79.98 kJ per mole of atoms. Its total energy is -5.626 eV/atom.

---

Below is Rb3Th3AuSe8 after structural relaxation, with properties calculated at the GGA-PBE level.

abc: 9.1362 8.5077 9.1585
angles: 114.45 90.00 122.48
Closest atoms and distances in Å follow each position.
Fractional positions:
Rb1 0.0000 0.0000 0.0000  6 Se 3.41-3.61
Rb2 0.0000 0.5000 0.0000  6 Se 3.48-3.59
Rb3 0.5000 0.5000 0.0000  6 Se 3.48-3.59
Th1 0.5000 0.0000 0.5000  6 Se 2.90-2.96
Th2 0.5000 0.5000 0.5000  6 Se 2.83-3.02
Th3 0.0000 0.5000 0.5000  6 Se 2.83-3.02
Au1 0.0000 0.0000 0.5000  2 Se 2.54
Se1 0.2636 0.5273 0.2961  3 Th 2.96-3.02
Se2 0.7364 0.4727 0.7039  3 Th 2.96-3.02
Se3 0.7973 0.5945 0.3320  1 Au 2.54
Se4 0.2027 0.4055 0.6680  1 Au 2.54
Se5 0.7371 0.0562 0.2862  2 Th 2.83-2.90
Se6 0.2629 0.9438 0.7138  2 Th 2.83-2.90
Se7 0.3191 0.0562 0.2862  2 Th 2.83-2.90
Se8 0.6809 0.9438 0.7138  2 Th 2.83-2.90

Summary:
The calculation puts the size of the total moment at 0.00 Bohr magnetons per cell. As for the space-group type: No. 12. Its formation energy (no corrections) is -134.59 kJ per mole of atoms. Its total energy is -5.149 eV/atom.

---

Below is SrPrZnSi after structural relaxation, with properties calculated at the GGA-PBE level.

abc: 5.3003 5.3003 5.3003
angles: 60.00 60.00 60.00
Closest atoms and distances in Å follow each position.
Fractional positions:
Pr1 0.0000 0.0000 0.0000  4 Si 3.25, 4 Zn 3.25
Sr1 0.5000 0.5000 0.5000  4 Zn 3.25, 4 Si 3.25
Zn1 0.2500 0.2500 0.2500  4 Pr 3.25, 4 Sr 3.25
Si1 0.7500 0.7500 0.7500  4 Sr 3.25, 4 Pr 3.25

Summary:
The calculation puts the size of the total moment at 0.00 Bohr magnetons per cell. As for the space-group type: No. 216. The density of states at the Fermi level is 3.42 states/eV/f.u. Its formation energy (no corrections) is -27.27 kJ per mole of atoms. Its total energy is -3.572 eV/atom.

---

Below is BeIr3Se after structural relaxation, with properties calculated at the GGA-PBE level.

abc: 4.2075 4.2075 4.2075
angles: 90.00 90.00 90.00
Closest atoms and distances in Å follow each position.
Fractional positions:
Be1 0.0000 0.0000 0.0000  6 Ir 2.10
Ir1 0.0000 0.5000 0.0000  2 Be 2.10
Ir2 0.0000 0.0000 0.5000  2 Be 2.10
Ir3 0.5000 0.0000 0.0000  2 Be 2.10
Se1 0.5000 0.5000 0.5000  12 Ir 2.98

Summary:
The calculation puts the size of the total moment at 0.00 Bohr magnetons per cell. As for the space-group type: No. 221. The density of states at the Fermi level is 6.47 states/eV/f.u. As for the excess energy over the best structure of this formula in the dataset: 0 meV per atom. Its formation energy (no corrections) is 68.54 kJ per mole of atoms. Its total energy is -6.048 eV/atom.